Entry 1:
Mo2Pt | meta-GGA SCAN | PBEsol geometry

Computed properties:
* spin magnetization: 0.00 Bohr magnetons per cell
* space group: Fm-3m
* calculated volume: 17.93 A^3/atom
* formation enthalpy at 0 K: 0.5736 eV per atom
* energy above the lowest structure with this stoichiometry: 2.36 eV per formula unit

a b c (Å): 4.2369 4.2369 4.2369
angles (deg): 60.00 60.00 60.00
Fractional positions:
Mo: 0.7500 0.7500 0.7500
Mo: 0.2500 0.2500 0.2500
Pt: 0.0000 0.0000 0.0000

---

Entry 2:
Ba2CdTc | meta-GGA SCAN | PBEsol geometry

Computed properties:
* spin magnetization: 2.08 Bohr magnetons per cell
* space group: I4/mmm
* calculated volume: 30.32 A^3/atom
* formation enthalpy at 0 K: 0.5862 eV per atom
* energy above the lowest structure with this stoichiometry: 0.33 eV per formula unit

a b c (Å): 5.5653 5.5516 5.5653
angles (deg): 59.92 90.00 120.08
Last column: magnetic moment on the atom in μB.
Fractional positions:
Cd: 0.5000 0.0000 0.5000  -0.05
Ba: 0.7500 0.5000 0.7500  -0.07
Ba: 0.2500 0.5000 0.2500  -0.07
Tc: 0.0000 0.0000 0.0000  2.47

---

Entry 3:
AlMoAs2 | meta-GGA SCAN | PBEsol geometry

Computed properties:
* spin magnetization: 0.00 Bohr magnetons per cell
* space group: Pmmm
* calculated volume: 16.00 A^3/atom
* formation enthalpy at 0 K: 0.2888 eV per atom

a b c (Å): 3.3029 4.1508 4.6676
angles (deg): 90.00 90.00 90.00
Fractional positions:
Mo: 0.5000 0.5000 0.0000
As: 0.0000 0.0000 0.0000
As: 0.5000 0.0000 0.5000
Al: 0.0000 0.5000 0.5000

---

Entry 4:
Fe2RhW | meta-GGA SCAN | PBEsol geometry

Computed properties:
* spin magnetization: 3.79 Bohr magnetons per cell
* space group: I4/mmm
* calculated volume: 12.21 A^3/atom
* formation enthalpy at 0 K: 0.0878 eV per atom
* energy above the lowest structure with this stoichiometry: 0.40 eV per formula unit

a b c (Å): 3.6951 3.6951 4.4299
angles (deg): 114.65 114.65 90.00
Last column: magnetic moment on the atom in μB.
Fractional positions:
Rh: 0.0000 0.0000 0.0000  0.20
W: 0.5000 0.5000 0.0000  -0.75
Fe: 0.2500 0.7500 0.5000  2.25
Fe: 0.7500 0.2500 0.5000  2.25